TmMgAl4 | PBE-GGA | optimized geometry

```
TmMgAl4
1.0
2.1557 -6.2224 0.0000
2.1557 6.2224 0.0000
0.0000 0.0000 4.3044
Tm Mg Al
1 1 4
Direct
0.0000 0.0000 0.0000
0.5000 0.5000 0.5000
0.1759 0.8241 0.5000
0.3219 0.6781 0.0000
0.6781 0.3219 0.0000
0.8241 0.1759 0.5000
```

energy of formation from the pure elements	-0.166	eV per atom
spin magnetization	0.0	μB/cell
calculated density	4.3	g cm⁻³

TmMg16Al12 | PBE-GGA | optimized geometry

```
TmMg16Al12
1.0
7.5246 4.3443 2.9912
-7.5246 4.3443 2.9912
0.0000 -8.6887 2.9912
Tm Mg Al
1 16 12
Direct
0.0000 0.0000 0.0000
0.0212 0.3151 0.6272
0.0212 0.6272 0.3151
0.2357 0.2357 0.9054
0.2357 0.9054 0.2357
0.2836 0.6245 0.6245
0.3151 0.0212 0.6272
0.3151 0.6272 0.0212
0.3435 0.9419 0.9419
0.6245 0.2836 0.6245
0.6245 0.6245 0.2836
0.6272 0.0212 0.3151
0.6272 0.3151 0.0212
0.6265 0.6265 0.6265
0.9054 0.2357 0.2357
0.9419 0.3435 0.9419
0.9419 0.9419 0.3435
0.2539 0.2539 0.4373
0.2539 0.4373 0.2539
0.4373 0.2539 0.2539
0.4383 0.4383 0.7997
0.4383 0.7997 0.4383
0.6295 0.8137 0.9925
0.6295 0.9925 0.8137
0.7997 0.4383 0.4383
0.8137 0.6295 0.9925
0.8137 0.9925 0.6295
0.9925 0.6295 0.8137
0.9925 0.8137 0.6295
```

polymorph energy (0 for the lowest one)	0.004	eV/atom
energy of formation from the pure elements	-0.068	eV per atom
spin magnetization	0.0	μB/cell
calculated density	2.5	g cm⁻³

TmMg3Al8 | PBE-GGA | optimized geometry

```
TmMg3Al8
1.0
5.4876 0.0000 0.0000
-2.7438 4.7524 0.0000
0.0000 0.0000 8.7376
Tm Mg Al
1 3 8
Direct
0.0000 0.0000 0.0000
0.0000 0.0000 0.3742
0.6667 0.3333 0.4991
0.6667 0.3333 0.8664
0.1624 0.3248 0.6850
0.1624 0.8376 0.6850
0.3333 0.6667 0.4396
0.3333 0.6667 0.9352
0.5040 0.0079 0.1838
0.5040 0.4960 0.1838
0.6752 0.8376 0.6850
0.9921 0.4960 0.1838
```

energy of formation from the pure elements	-0.147	eV per atom
spin magnetization	0.0	μB/cell
calculated density	3.3	g cm⁻³

Tm5MgAl2 | PBE-GGA | optimized geometry

```
Tm5MgAl2
1.0
2.3196 -5.4226 0.0000
2.3196 5.4226 0.0000
0.0000 0.0000 16.2448
Tm Mg Al
10 2 4
Direct
0.0177 0.9823 0.7500
0.1548 0.8452 0.5401
0.1548 0.8452 0.9599
0.4569 0.5431 0.5998
0.4569 0.5431 0.9002
0.5431 0.4569 0.0998
0.5431 0.4569 0.4002
0.8452 0.1548 0.0401
0.8452 0.1548 0.4599
0.9823 0.0177 0.2500
0.2961 0.7039 0.7500
0.7039 0.2961 0.2500
0.2606 0.7394 0.1549
0.2606 0.7394 0.3451
0.7394 0.2606 0.6549
0.7394 0.2606 0.8451
```

energy of formation from the pure elements	-0.096	eV per atom
spin magnetization	0.0	μB/cell
calculated density	7.5	g cm⁻³

TmMg16Al12 | PBE-GGA | optimized geometry

```
TmMg16Al12
1.0
-5.2732 5.2732 5.2732
5.2732 -5.2732 5.2732
5.2732 5.2732 -5.2732
Tm Mg Al
1 16 12
Direct
0.0000 0.0000 0.0000
0.0000 0.0000 0.3570
0.0000 0.3196 0.6050
0.0000 0.3570 0.0000
0.0000 0.6050 0.3196
0.2854 0.6804 0.6804
0.3196 0.0000 0.6050
0.3196 0.6050 0.0000
0.3570 0.0000 0.0000
0.3950 0.3950 0.7146
0.3950 0.7146 0.3950
0.6050 0.0000 0.3196
0.6050 0.3196 0.0000
0.6430 0.6430 0.6430
0.6804 0.2854 0.6804
0.6804 0.6804 0.2854
0.7146 0.3950 0.3950
0.0000 0.6333 0.8145
0.0000 0.8145 0.6333
0.1812 0.3667 0.3667
0.1855 0.1855 0.8188
0.1855 0.8188 0.1855
0.3667 0.1812 0.3667
0.3667 0.3667 0.1812
0.6333 0.0000 0.8145
0.6333 0.8145 0.0000
0.8145 0.0000 0.6333
0.8145 0.6333 0.0000
0.8188 0.1855 0.1855
```

polymorph energy (0 for the lowest one)	0.000	eV/atom
energy of formation from the pure elements	-0.072	eV per atom
spin magnetization	0.0	μB/cell
calculated density	2.5	g cm⁻³

Tm6MgAl3 | PBE-GGA | optimized geometry

```
Tm6MgAl3
1.0
9.1103 0.0000 0.0000
0.0000 5.1051 0.0000
-3.4058 0.0000 10.6594
Tm Mg Al
12 2 6
Direct
0.0455 0.2500 0.4143
0.1530 0.7500 0.1788
0.2333 0.2500 0.9992
0.3225 0.7500 0.7892
0.3689 0.2500 0.3325
0.3984 0.2500 0.6200
0.6016 0.7500 0.3800
0.6311 0.7500 0.6675
0.6775 0.2500 0.2108
0.7667 0.7500 0.0008
0.8470 0.2500 0.8212
0.9545 0.7500 0.5857
0.4593 0.7500 0.0898
0.5407 0.2500 0.9102
0.0370 0.7500 0.8804
0.1209 0.2500 0.7140
0.2752 0.7500 0.4736
0.7248 0.2500 0.5264
0.8791 0.7500 0.2860
0.9630 0.2500 0.1196
```

energy of formation from the pure elements	-0.229	eV per atom
spin magnetization	0.0	μB/cell
calculated density	7.5	g cm⁻³

Tm3Mg2Al2 | PBE-GGA | optimized geometry

```
Tm3Mg2Al2
1.0
2.2096 -10.9881 0.0000
2.2096 10.9881 0.0000
0.0000 0.0000 3.4741
Tm Mg Al
3 2 2
Direct
0.0000 0.0000 0.0000
0.1626 0.8374 0.0000
0.8374 0.1626 0.0000
0.4198 0.5802 0.5000
0.5802 0.4198 0.5000
0.2824 0.7176 0.5000
0.7176 0.2824 0.5000
```

energy of formation from the pure elements	-0.241	eV per atom
spin magnetization	0.0	μB/cell
calculated density	6.0	g cm⁻³

Tm4MgAl2 | PBE-GGA | optimized geometry

```
Tm4MgAl2
1.0
7.1247 0.0000 0.0000
0.0000 6.4267 0.0000
-3.1716 0.0000 8.0249
Tm Mg Al
8 2 4
Direct
0.0397 0.2500 0.4106
0.1037 0.7500 0.2671
0.3943 0.0127 0.7660
0.3943 0.4873 0.7660
0.6057 0.5127 0.2340
0.6057 0.9873 0.2340
0.8963 0.2500 0.7329
0.9603 0.7500 0.5894
0.2066 0.2500 0.0973
0.7934 0.7500 0.9027
0.2195 0.7500 0.9685
0.4803 0.2500 0.4713
0.5197 0.7500 0.5287
0.7805 0.2500 0.0315
```

polymorph energy (0 for the lowest one)	0.130	eV/atom
energy of formation from the pure elements	-0.054	eV per atom
spin magnetization	0.0	μB/cell
calculated density	6.8	g cm⁻³

Tm4MgAl3 | PBE-GGA | optimized geometry

```
Tm4MgAl3
1.0
5.0804 0.0000 0.0000
0.0000 5.0804 0.0000
0.0000 0.0000 7.1652
Tm Mg Al
4 1 3
Direct
0.0000 0.5000 0.2448
0.0000 0.5000 0.7552
0.5000 0.0000 0.2448
0.5000 0.0000 0.7552
0.0000 0.0000 0.5000
0.0000 0.0000 0.0000
0.5000 0.5000 0.0000
0.5000 0.5000 0.5000
```

energy of formation from the pure elements	-0.327	eV per atom
spin magnetization	0.0	μB/cell
calculated density	7.0	g cm⁻³

TmMg2Al | PBE-GGA | optimized geometry

```
TmMg2Al
1.0
0.0000 3.5264 3.5264
3.5264 0.0000 3.5264
3.5264 3.5264 0.0000
Tm Mg Al
1 2 1
Direct
0.0000 0.0000 0.0000
0.2500 0.2500 0.2500
0.7500 0.7500 0.7500
0.5000 0.5000 0.5000
```

polymorph energy (0 for the lowest one)	0.163	eV/atom
energy of formation from the pure elements	-0.025	eV per atom
spin magnetization	0.0	μB/cell
calculated density	4.6	g cm⁻³

Tm8Mg2Al | PBE-GGA | optimized geometry

```
Tm8Mg2Al
1.0
4.2917 -7.5070 0.0000
4.2917 7.5070 0.0000
-2.2758 0.0000 4.8662
Tm Mg Al
8 2 1
Direct
0.0995 0.3219 0.6218
0.2059 0.7941 0.0000
0.3219 0.0995 0.6218
0.3906 0.3906 0.1956
0.6094 0.6094 0.8044
0.6781 0.9005 0.3782
0.7941 0.2059 0.0000
0.9005 0.6781 0.3782
0.3043 0.6957 0.5000
0.6957 0.3043 0.5000
0.0000 0.0000 0.0000
```

energy of formation from the pure elements	0.104	eV per atom
spin magnetization	0.0	μB/cell
calculated density	7.6	g cm⁻³

TmMg2Al | PBE-GGA | optimized geometry

```
TmMg2Al
1.0
4.3461 0.0000 0.0000
0.0000 4.3461 0.0000
0.0000 0.0000 4.7507
Tm Mg Al
1 2 1
Direct
0.0000 0.0000 0.0000
0.0000 0.5000 0.5000
0.5000 0.0000 0.5000
0.5000 0.5000 0.0000
```

polymorph energy (0 for the lowest one)	0.000	eV/atom
energy of formation from the pure elements	-0.188	eV per atom
spin magnetization	0.0	μB/cell
calculated density	4.5	g cm⁻³

Which value of calculated density does entry 9 give?
7.0 g cm⁻³

spin magnetization of number 10 (TmMg2Al)?
0.0 μB/cell